Record 1
A geometry-optimized ZnCuB2 structure, computed with PBE-GGA.

CIF file:
```
data_ZnCuB2
_symmetry_space_group_name_H-M 'F -4 3 m'
_symmetry_Int_Tables_number 216
_symmetry_space_group_name_Hall 'F -4 2 3'
_cell_length_a 5.473
_cell_length_b 5.473
_cell_length_c 5.473
_cell_angle_alpha 90.00
_cell_angle_beta 90.00
_cell_angle_gamma 90.00
loop_
_atom_site_label
_atom_site_type_symbol
_atom_site_fract_x
_atom_site_fract_y
_atom_site_fract_z
Zn1 Zn 0.000 0.000 0.000
Cu1 Cu 0.250 0.250 0.750
B1 B 0.000 0.000 0.500
B2 B 0.250 0.250 0.250
```

Results
DFT total energy = -3.34 eV per atom
volume = 10.25 Å³/atom

Record 2
A geometry-optimized LiAcW structure, computed with PBE-GGA.

CIF file:
```
data_LiAcW
_symmetry_space_group_name_H-M 'F -4 3 m'
_symmetry_Int_Tables_number 216
_symmetry_space_group_name_Hall 'F -4 2 3'
_cell_length_a 6.609
_cell_length_b 6.609
_cell_length_c 6.609
_cell_angle_alpha 90.00
_cell_angle_beta 90.00
_cell_angle_gamma 90.00
loop_
_atom_site_label
_atom_site_type_symbol
_atom_site_fract_x
_atom_site_fract_y
_atom_site_fract_z
Li1 Li 0.000 0.000 0.000
Ac1 Ac 0.250 0.250 0.750
W1 W 0.250 0.250 0.250
```

Results
DFT total energy = -4.97 eV per atom
volume = 24.05 Å³/atom
ΔE to the lowest computed polymorph = 0.00 eV per formula unit

Record 3
A geometry-optimized LiZrPa structure, computed with PBE-GGA.

CIF file:
```
data_LiZrPa
_symmetry_space_group_name_H-M 'F -4 3 m'
_symmetry_Int_Tables_number 216
_symmetry_space_group_name_Hall 'F -4 2 3'
_cell_length_a 6.612
_cell_length_b 6.612
_cell_length_c 6.612
_cell_angle_alpha 90.00
_cell_angle_beta 90.00
_cell_angle_gamma 90.00
loop_
_atom_site_label
_atom_site_type_symbol
_atom_site_fract_x
_atom_site_fract_y
_atom_site_fract_z
Li1 Li 0.000 0.000 0.000
Zr1 Zr 0.000 0.000 0.500
Pa1 Pa 0.250 0.250 0.250
```

Results
DFT total energy = -5.40 eV per atom
volume = 24.09 Å³/atom
ΔE to the lowest computed polymorph = 0.63 eV per formula unit

Record 4
A geometry-optimized YZrFeSb structure, computed with PBE-GGA.

CIF file:
```
data_YZrFeSb
_symmetry_space_group_name_H-M 'F -4 3 m'
_symmetry_Int_Tables_number 216
_symmetry_space_group_name_Hall 'F -4 2 3'
_cell_length_a 6.795
_cell_length_b 6.795
_cell_length_c 6.795
_cell_angle_alpha 90.00
_cell_angle_beta 90.00
_cell_angle_gamma 90.00
loop_
_atom_site_label
_atom_site_type_symbol
_atom_site_fract_x
_atom_site_fract_y
_atom_site_fract_z
Y1 Y 0.000 0.000 0.000
Zr1 Zr 0.250 0.250 0.250
Fe1 Fe 0.250 0.250 0.750
Sb1 Sb 0.000 0.000 0.500
```

Results
DFT total energy = -6.72 eV per atom
volume = 19.61 Å³/atom
ΔE to the lowest computed polymorph = 0.00 eV per formula unit

Record 5
A geometry-optimized SrZnSeO structure, computed with PBE-GGA.

CIF file:
```
data_SrZnSeO
_symmetry_space_group_name_H-M 'P c a 21'
_symmetry_Int_Tables_number 29
_cell_length_a 7.102
_cell_length_b 7.164
_cell_length_c 6.829
_cell_angle_alpha 90.00
_cell_angle_beta 90.00
_cell_angle_gamma 90.00
loop_
_symmetry_equiv_pos_as_xyz
'x,y,z'
'-x,-y,z+1/2'
'-x+1/2,y,z+1/2'
'x+1/2,-y,z'
loop_
_atom_site_label
_atom_site_type_symbol
_atom_site_fract_x
_atom_site_fract_y
_atom_site_fract_z
Sr1 Sr 0.114 0.132 0.000
Zn1 Zn 0.055 0.652 0.103
Se1 Se 0.130 0.605 0.754
O1 O 0.075 0.112 0.645
```

Results
DFT total energy = -4.55 eV per atom
volume = 21.71 Å³/atom

Record 6
A geometry-optimized Ta4BiPN2 structure, computed with PBE-GGA.

CIF file:
```
data_Ta4BiPN2
_symmetry_space_group_name_H-M 'P -6 m 2'
_symmetry_Int_Tables_number 187
_symmetry_space_group_name_Hall 'P -6 2'
_cell_length_a 3.3101
_cell_length_b 3.3101
_cell_length_c 12.7775
_cell_angle_alpha 90.00
_cell_angle_beta 90.00
_cell_angle_gamma 120.00
loop_
_atom_site_label
_atom_site_type_symbol
_atom_site_fract_x
_atom_site_fract_y
_atom_site_fract_z
Ta1 Ta 0.0000 0.0000 0.1322
Ta2 Ta 0.6667 0.3333 0.3042
Bi1 Bi 0.0000 0.0000 0.5000
P1 P 0.6667 0.3333 0.0000
N1 N 0.3333 0.6667 0.2293
```

Results
DFT total energy = -9.63 eV per atom
volume = 15.16 Å³/atom

Record 7
A geometry-optimized YFeReSi structure, computed with PBE-GGA.

CIF file:
```
data_YFeReSi
_symmetry_space_group_name_H-M 'F -4 3 m'
_symmetry_Int_Tables_number 216
_symmetry_space_group_name_Hall 'F -4 2 3'
_cell_length_a 6.440
_cell_length_b 6.440
_cell_length_c 6.440
_cell_angle_alpha 90.00
_cell_angle_beta 90.00
_cell_angle_gamma 90.00
loop_
_atom_site_label
_atom_site_type_symbol
_atom_site_fract_x
_atom_site_fract_y
_atom_site_fract_z
Y1 Y 0.000 0.000 0.000
Fe1 Fe 0.000 0.000 0.500
Re1 Re 0.250 0.250 0.750
Si1 Si 0.250 0.250 0.250
```

Results
DFT total energy = -7.71 eV per atom
volume = 16.70 Å³/atom
ΔE to the lowest computed polymorph = 0.81 eV per formula unit

Record 8
A geometry-optimized Zr3AlIn2Pt3 structure, computed with PBE-GGA.

CIF file:
```
data_Zr3AlIn2Pt3
_symmetry_space_group_name_H-M 'A m m 2'
_symmetry_Int_Tables_number 38
_cell_length_a 3.671
_cell_length_b 12.920
_cell_length_c 7.325
_cell_angle_alpha 90.00
_cell_angle_beta 90.00
_cell_angle_gamma 90.00
loop_
_symmetry_equiv_pos_as_xyz
'x,y,z'
'-x,-y,z'
'-x,y,z'
'x,-y,z'
'x,y+1/2,z+1/2'
'-x,-y+1/2,z+1/2'
'-x,y+1/2,z+1/2'
'x,-y+1/2,z+1/2'
loop_
_atom_site_label
_atom_site_type_symbol
_atom_site_fract_x
_atom_site_fract_y
_atom_site_fract_z
Zr1 Zr 0.000 0.000 0.000
Zr2 Zr 0.000 0.196 0.389
Al1 Al 0.500 0.000 0.331
In1 In 0.500 0.133 0.728
Pt1 Pt 0.000 0.000 0.571
Pt2 Pt 0.500 0.160 0.107
```

Results
DFT total energy = -6.78 eV per atom
volume = 19.30 Å³/atom